[1]
VASP calculation (SCAN) on TlCoMo2 at its PBEsol-relaxed geometry.

```
TlCoMo2
1.0
2.7985 0.0327 0.0000
-0.6485 2.7225 0.0000
0.0000 0.0000 8.1618
Tl Co Mo
1 1 2
direct
0.0000 0.0000 0.4781 Tl
0.5000 0.5000 0.2268 Co
0.0000 0.0000 0.0247 Mo
0.5000 0.5000 0.7703 Mo
```

Total moment: 0.00 μB/cell
Distance to the lowest polymorph of the same formula: 77 meV/atom
Calculated density: 12.12 Mg/m³

---

[2]
VASP calculation (SCAN) on V2Co9Mo at its PBEsol-relaxed geometry.

```
V2Co9Mo
1.0
-4.8099 -1.0474 -0.5148
-1.5511 -2.6699 -3.8682
-1.3635 -6.2732 1.7101
V Co Mo
2 9 1
direct
0.2181 0.2181 0.3456 V
0.0006 0.0006 0.9982 V
0.7186 0.7186 0.3292 Co
0.7186 0.2336 0.3292 Co
0.2336 0.7186 0.3292 Co
0.2821 0.2821 0.6677 Co
0.2821 0.7681 0.6677 Co
0.7681 0.2821 0.6677 Co
0.4978 0.0021 0.0024 Co
0.0021 0.4978 0.0024 Co
0.4978 0.4978 0.0024 Co
0.7806 0.7806 0.6582 Mo
```

Total moment: 0.01 μB/cell
Calculated density: 9.50 Mg/m³

---

[3]
VASP calculation (SCAN) on Co2MoW at its PBEsol-relaxed geometry.

```
Co2MoW
1.0
4.1860 0.0000 0.0000
2.0930 3.6252 0.0000
2.0930 1.2084 3.4178
Mo Co W
1 2 1
direct
0.0000 0.0000 0.0000 Mo
0.2500 0.2500 0.2500 Co
0.7500 0.7500 0.7500 Co
0.5000 0.5000 0.5000 W
```

Total moment: 4.49 μB/cell
Distance to the lowest polymorph of the same formula: 50 meV/atom
Calculated density: 12.73 Mg/m³

---

[4]
VASP calculation (SCAN) on CoMoW2 at its PBEsol-relaxed geometry.

```
CoMoW2
1.0
-3.5828 1.3476 -0.1383
-0.2780 -0.3486 3.8044
3.2800 3.1329 -1.4016
Co Mo W
1 1 2
direct
0.5000 0.5000 0.0000 Co
0.0000 0.0000 0.0000 Mo
0.7500 0.2500 0.5000 W
0.2500 0.7500 0.5000 W
```

Total moment: 0.00 μB/cell
Distance to the lowest polymorph of the same formula: 0 meV/atom
Calculated density: 15.17 Mg/m³

---

[5]
VASP calculation (SCAN) on Co6MoW at its PBEsol-relaxed geometry.

```
Co6MoW
1.0
6.1346 -0.0033 0.0000
-2.0464 5.7832 0.0000
0.0000 0.0000 10.0237
Co Mo W
24 4 4
direct
0.2496 0.7504 0.7495 Co
0.8752 0.6258 0.8747 Co
0.1248 0.3742 0.8747 Co
0.7504 0.2496 0.7495 Co
0.3742 0.1248 0.8747 Co
0.6258 0.8752 0.8747 Co
0.5000 0.5000 0.5000 Co
0.1242 0.3748 0.6247 Co
0.3748 0.1242 0.6247 Co
0.2496 0.7504 0.2505 Co
0.8758 0.6252 0.3753 Co
0.1242 0.3748 0.3753 Co
0.7504 0.2496 0.2505 Co
0.3748 0.1242 0.3753 Co
0.6252 0.8758 0.3753 Co
0.5000 0.5000 0.0000 Co
0.1248 0.3742 0.1253 Co
0.3742 0.1248 0.1253 Co
0.0000 0.0000 0.5000 Co
0.6252 0.8758 0.6247 Co
0.8758 0.6252 0.6247 Co
0.0000 0.0000 0.0000 Co
0.6258 0.8752 0.1253 Co
0.8752 0.6258 0.1253 Co
0.2499 0.7501 0.5000 Mo
0.7501 0.2499 0.5000 Mo
0.0000 0.0000 0.7495 Mo
0.0000 0.0000 0.2505 Mo
0.2500 0.7500 0.0000 W
0.7500 0.2500 0.0000 W
0.5000 0.5000 0.7496 W
0.5000 0.5000 0.2504 W
```

Total moment: 8.46 μB/cell
Calculated density: 11.83 Mg/m³

---

[6]
VASP calculation (SCAN) on Co2MoW at its PBEsol-relaxed geometry.

```
Co2MoW
1.0
3.0656 0.0000 0.0000
0.0000 3.0656 0.0000
0.0000 0.0000 5.4475
Mo Co W
1 2 1
direct
0.0000 0.0000 0.4686 Mo
0.0000 0.0000 0.0015 Co
0.5000 0.5000 0.2499 Co
0.5000 0.5000 0.7800 W
```

Total moment: 0.00 μB/cell
Distance to the lowest polymorph of the same formula: 130 meV/atom
Calculated density: 12.90 Mg/m³

---

[7]
VASP calculation (SCAN) on Co2MoW at its PBEsol-relaxed geometry.

```
Co2MoW
1.0
2.6241 0.0000 0.0285
0.0000 4.2296 0.0000
-0.0505 0.0000 4.5268
Mo Co W
1 2 1
direct
0.3752 0.0000 0.4382 Mo
0.8751 0.0000 0.9538 Co
0.8750 0.5000 0.2979 Co
0.3747 0.5000 0.8101 W
```

Total moment: 0.00 μB/cell
Distance to the lowest polymorph of the same formula: 28 meV/atom
Calculated density: 13.14 Mg/m³

---

[8]
VASP calculation (SCAN) on Co3MoW at its PBEsol-relaxed geometry.

```
Co3MoW
1.0
4.2131 0.0000 0.0000
0.0000 4.2131 0.0000
0.0000 0.0000 4.2131
Mo Co W
1 3 1
direct
0.0000 0.0000 0.0000 Mo
0.0000 0.5000 0.0000 Co
0.0000 0.0000 0.5000 Co
0.5000 0.0000 0.0000 Co
0.5000 0.5000 0.5000 W
```

Total moment: 3.37 μB/cell
Calculated density: 10.14 Mg/m³

---

Number 1: ΔE_f 574.3 meV per atom, E_tot -39.28 eV/atom. Number 2: ΔE_f 45.0 meV per atom, E_tot -18.76 eV/atom. Number 3: ΔE_f 215.4 meV per atom, E_tot -34.58 eV/atom. Number 4: ΔE_f 388.1 meV per atom, E_tot -47.50 eV/atom. Number 5: ΔE_f 160.7 meV per atom, E_tot -25.89 eV/atom. Number 6: ΔE_f 296.2 meV per atom, E_tot -34.50 eV/atom. Number 7: ΔE_f 193.9 meV per atom, E_tot -34.60 eV/atom. Number 8: ΔE_f 1945.8 meV per atom, E_tot -29.35 eV/atom.